# Na4B5C3, optimized geometry, DFT PBE
data_Na4B5C3
_space_group_name_H-M_alt 'P 1 21/m 1'
_space_group_IT_number 11
_cell_length_a 5.060
_cell_length_b 2.810
_cell_length_c 17.056
_cell_angle_alpha 90.00
_cell_angle_beta 90.03
_cell_angle_gamma 90.00
loop_
_space_group_symop_operation_xyz
'x,y,z'
'-x,-y,-z'
'-x,y+1/2,-z'
'x,-y+1/2,z'
loop_
_atom_site_label
_atom_site_fract_x
_atom_site_fract_y
_atom_site_fract_z
_atom_site_occupancy
Na1 0.248 0.250 0.247 1
Na2 0.248 0.250 0.499 1
Na3 0.250 0.250 0.000 1
Na4 0.250 0.250 0.754 1
B1 0.071 0.750 0.373 1
B2 0.080 0.750 0.877 1
B3 0.387 0.750 0.627 1
B4 0.402 0.750 0.373 1
B5 0.420 0.750 0.123 1
C1 0.085 0.750 0.123 1
C2 0.085 0.750 0.627 1
C3 0.415 0.750 0.877 1
# Energy above the lowest structure with this stoichiometry (meV per atom): 19
# Theoretical density (g/cm3): 2.49
# DOS at the Fermi energy (states/eV/f.u.): 1.08
# Calculated total energy (eV/atom): -5.448
# Calculated formation energy (eV per atom): 0.0796